(1)
The following is a PBE calculation of a relaxed PmPaSnHg crystal, from Alexandria via LeMat-Bulk.

Properties
Energy relative to the elements: -0.1863 eV per atom

abc: 7.5810 7.5810 7.5810
angles: 90.00 90.00 90.00
Closest atoms and distances in Å follow each position.
Space group F-43m (No. 216)
Unique sites:
Pm 0.0000 0.0000 0.0000  4 Sn 3.28, 4 Hg 3.28
Pa 0.0000 0.0000 0.5000  4 Hg 3.28, 4 Sn 3.28
Sn 0.2500 0.2500 0.2500  4 Pa 3.28, 4 Pm 3.28
Hg 0.2500 0.2500 0.7500  4 Pm 3.28, 4 Pa 3.28



(2)
The following is a PBE calculation of a relaxed Na2SbPb2 crystal, from Alexandria via LeMat-Bulk.

Properties
Offset from the most stable computed form: 0.41 eV/f.u.
Formation energy from raw total energies: -0.05 eV per atom

abc: 8.8526 8.8526 3.6697
angles: 90.00 90.00 90.00
Closest atoms and distances in Å follow each position.
Space group P4/mbm (No. 127)
Unique sites:
Na 0.1727 0.3273 0.0000  6 Pb 3.09-3.26
Sb 0.0000 0.0000 0.5000  4 Pb 3.48, 2 Sb 3.67, 8 Na 3.75
Pb 0.1284 0.6284 0.5000  6 Na 3.09-3.26, 1 Pb 3.22



(3)
The following is a PBE calculation of a relaxed CeNd2Ag3 crystal, from Alexandria via LeMat-Bulk.

Properties
Energy relative to the elements: -0.1832 eV per atom

abc: 3.7065 3.7065 11.4969
angles: 90.00 90.00 90.00
Closest atoms and distances in Å follow each position.
Space group P4/mmm (No. 123)
Unique sites:
Ce 0.0000 0.0000 0.0000  8 Ag 3.26
Nd 0.0000 0.0000 0.3331  8 Ag 3.23-3.25
Ag 0.5000 0.5000 0.1692  4 Nd 3.23, 4 Ce 3.26
Ag 0.5000 0.5000 0.5000  8 Nd 3.25



Number 1: total energy -4.82 eV per atom. Number 2: total energy -2.89 eV per atom. Number 3: total energy -4.19 eV per atom.